The following is a DFT calculation (GGA-PBE) of a relaxed Ba2LiGa4Si3 crystal.

a = 4.626 Å, b = 4.626 Å, c = 10.381 Å
α = 90.00°, β = 90.00°, γ = 90.00°
Space group P-4m2 (No. 115)
Unique sites:
Ba 0.000 0.500 0.249 (multiplicity 2)
Li 0.000 0.000 0.500 (multiplicity 1)
Ga 0.000 0.000 0.000 (multiplicity 1)
Ga 0.000 0.500 0.628 (multiplicity 2)
Ga 0.500 0.500 0.000 (multiplicity 1)
Si 0.000 0.500 0.877 (multiplicity 2)
Si 0.500 0.500 0.500 (multiplicity 1)

Calculated values
ΔE_f (raw): -281 meV per atom
Calculated volume: 222 Å³ per cell
Calculated density: 4820 kg/m3

The following is a DFT calculation (GGA-PBE) of a relaxed CsDyMnCl6 crystal.

a = 6.8335 Å, b = 6.8335 Å, c = 7.7883 Å
α = 90.00°, β = 90.00°, γ = 120.00°
Space group P312 (No. 149)
Unique sites:
Cs 0.0000 0.0000 0.0000 (multiplicity 1)
Dy 0.3333 0.6667 0.5000 (multiplicity 1)
Mn 0.6667 0.3333 0.5000 (multiplicity 1)
Cl 0.3854 0.0105 0.3079 (multiplicity 6)

Calculated values
ΔE_f (raw): -1866 meV per atom
Calculated volume: 315 Å³ per cell
Calculated density: 2969 kg/m3

The following is a DFT calculation (GGA-PBE) of a relaxed TiTlV4S8 crystal.

a = 17.871 Å, b = 3.290 Å, c = 8.527 Å
α = 90.00°, β = 104.46°, γ = 90.00°
Space group C2/m (No. 12)
Unique sites:
Ti 0.000 0.000 0.000 (multiplicity 2)
Tl 0.000 0.500 0.500 (multiplicity 2)
V 0.154 0.500 0.995 (multiplicity 4)
V 0.211 0.500 0.359 (multiplicity 4)
S 0.078 0.500 0.179 (multiplicity 4)
S 0.087 0.000 0.820 (multiplicity 4)
S 0.162 0.000 0.501 (multiplicity 4)
S 0.242 0.000 0.163 (multiplicity 4)

Calculated values
ΔE_f (raw): -980 meV per atom
Calculated volume: 485 Å³ per cell
Calculated density: 4875 kg/m3

The following is a DFT calculation (GGA-PBE) of a relaxed Mg7Pd2Pb crystal.

a = 8.148 Å, b = 12.743 Å, c = 4.983 Å
α = 90.00°, β = 90.00°, γ = 90.00°
Space group Cmmm (No. 65)
Unique sites:
Mg 0.000 0.000 0.000 (multiplicity 2)
Mg 0.000 0.229 0.500 (multiplicity 4)
Mg 0.191 0.370 0.000 (multiplicity 8)
Pd 0.000 0.201 0.000 (multiplicity 4)
Pb 0.000 0.500 0.500 (multiplicity 2)

Calculated values
Energy of formation: -173.9 meV per atom
Calculated volume: 517 Å³ per cell
ΔE to the lowest computed polymorph: 65 meV per atom
Calculated density: 3788 kg/m3

The following is a DFT calculation (GGA-PBE) of a relaxed LaY2Pb2 crystal.

a = 9.092 Å, b = 9.092 Å, c = 3.739 Å
α = 90.00°, β = 90.00°, γ = 90.00°
Space group P4/mbm (No. 127)
Unique sites:
La 0.000 0.000 0.000 (multiplicity 2)
Y 0.145 0.355 0.500 (multiplicity 4)
Pb 0.154 0.654 0.000 (multiplicity 4)

Calculated values
Energy of formation: -495.4 meV per atom
Calculated volume: 309 Å³ per cell
ΔE to the lowest computed polymorph: 0 meV per atom
Calculated density: 7856 kg/m3

The following is a DFT calculation (GGA-PBE) of a relaxed Tb3TmTl2 crystal.

a = 6.542 Å, b = 16.622 Å, c = 6.535 Å
α = 90.00°, β = 90.00°, γ = 90.00°
Space group Ibam (No. 72)
Unique sites:
Tb 0.000 0.000 0.250 (multiplicity 4)
Tb 0.248 0.324 0.000 (multiplicity 8)
Tm 0.000 0.500 0.250 (multiplicity 4)
Tl 0.248 0.364 0.500 (multiplicity 8)

Calculated values
Energy of formation: -213.3 meV per atom
Calculated volume: 711 Å³ per cell
ΔE to the lowest computed polymorph: 53 meV per atom
Calculated density: 9856 kg/m3